#a
Crystalline LaRuIN2 at its relaxed geometry, computed with PBE.

Summary:
Symmetry   P4/mmm, No. 123
N(E_F)   8.43 states/eV/cell

abc: 4.2840 4.2840 6.7742
angles: 90.00 90.00 90.00
Element x y z (fractional)
La (0.0000, 0.0000, 0.0000)
Ru (0.5000, 0.5000, 0.5000)
I (0.0000, 0.0000, 0.5000)
N (0.0000, 0.5000, 0.0000)
N (0.5000, 0.0000, 0.0000)


#b
Crystalline LaRuIN2 at its relaxed geometry, computed with PBE.

Summary:
Symmetry   P4/mmm, No. 123
N(E_F)   3.25 states/eV/cell

abc: 4.1926 4.1926 5.1821
angles: 90.00 90.00 90.00
Element x y z (fractional)
La (0.0000, 0.0000, 0.0000)
Ru (0.5000, 0.5000, 0.5000)
I (0.5000, 0.5000, 0.0000)
N (0.0000, 0.5000, 0.5000)
N (0.5000, 0.0000, 0.5000)


We find #b to be the most stable, with the next structure 0.806 eV/atom higher.


#a
Crystalline LaSbI2N at its relaxed geometry, computed with PBE.

Summary:
Symmetry   P4/mmm, No. 123
N(E_F)   3.22 states/eV/cell

abc: 4.9959 4.9959 5.1637
angles: 90.00 90.00 90.00
Element x y z (fractional)
La (0.0000, 0.0000, 0.0000)
Sb (0.5000, 0.5000, 0.0000)
I (0.0000, 0.5000, 0.5000)
I (0.5000, 0.0000, 0.5000)
N (0.5000, 0.5000, 0.5000)


#b
Crystalline LaSbI2N at its relaxed geometry, computed with PBE.

Summary:
Symmetry   P4/mmm, No. 123
N(E_F)   1.20 states/eV/cell

abc: 6.3457 6.3457 6.5032
angles: 90.00 90.00 90.00
Element x y z (fractional)
La (0.0000, 0.0000, 0.0000)
Sb (0.0000, 0.0000, 0.5000)
I (0.0000, 0.5000, 0.0000)
I (0.5000, 0.0000, 0.0000)
N (0.5000, 0.5000, 0.5000)


We find #a to be the most stable, with the next structure 0.392 eV/atom higher.


#a
Crystalline LaSbI2N at its relaxed geometry, computed with PBE.

Summary:
Symmetry   P4/mmm, No. 123
N(E_F)   5.64 states/eV/cell

abc: 6.3168 6.3168 4.0359
angles: 90.00 90.00 90.00
Element x y z (fractional)
La (0.0000, 0.0000, 0.0000)
Sb (0.5000, 0.5000, 0.5000)
I (0.0000, 0.5000, 0.5000)
I (0.5000, 0.0000, 0.5000)
N (0.5000, 0.5000, 0.0000)


#b
Crystalline LaSbI2N at its relaxed geometry, computed with PBE.

Summary:
Symmetry   P4/mmm, No. 123
N(E_F)   4.44 states/eV/cell

abc: 6.5040 6.5040 4.1249
angles: 90.00 90.00 90.00
Element x y z (fractional)
La (0.0000, 0.0000, 0.0000)
Sb (0.5000, 0.5000, 0.5000)
I (0.0000, 0.5000, 0.0000)
I (0.5000, 0.0000, 0.0000)
N (0.0000, 0.0000, 0.5000)


We find #b to be the most stable, with the next structure 0.185 eV/atom higher.


#a
Crystalline LaScI2N at its relaxed geometry, computed with PBE.

Summary:
Symmetry   P4/mmm, No. 123
N(E_F)   2.37 states/eV/cell

abc: 5.8487 5.8487 3.9915
angles: 90.00 90.00 90.00
Element x y z (fractional)
La (0.0000, 0.0000, 0.0000)
Sc (0.5000, 0.5000, 0.5000)
I (0.0000, 0.5000, 0.5000)
I (0.5000, 0.0000, 0.5000)
N (0.5000, 0.5000, 0.0000)


#b
Crystalline LaScI2N at its relaxed geometry, computed with PBE.

Summary:
Symmetry   P4/mmm, No. 123
N(E_F)   6.48 states/eV/cell

abc: 6.4619 6.4619 4.1612
angles: 90.00 90.00 90.00
Element x y z (fractional)
La (0.0000, 0.0000, 0.0000)
Sc (0.5000, 0.5000, 0.5000)
I (0.0000, 0.5000, 0.0000)
I (0.5000, 0.0000, 0.0000)
N (0.0000, 0.0000, 0.5000)


We find #a to be the most stable, with the next structure 0.433 eV/atom higher.


#a
Crystalline LaTe2IN at its relaxed geometry, computed with PBE.

Summary:
Symmetry   P4/mmm, No. 123
N(E_F)   0.79 states/eV/cell

abc: 5.0732 5.0732 4.8870
angles: 90.00 90.00 90.00
Element x y z (fractional)
La (0.0000, 0.0000, 0.0000)
Te (0.0000, 0.5000, 0.5000)
Te (0.5000, 0.0000, 0.5000)
I (0.5000, 0.5000, 0.0000)
N (0.5000, 0.5000, 0.5000)


#b
Crystalline LaTe2IN at its relaxed geometry, computed with PBE.

Summary:
Symmetry   P4/mmm, No. 123
N(E_F)   2.69 states/eV/cell

abc: 5.9715 5.9715 4.0831
angles: 90.00 90.00 90.00
Element x y z (fractional)
La (0.0000, 0.0000, 0.0000)
Te (0.0000, 0.5000, 0.5000)
Te (0.5000, 0.0000, 0.5000)
I (0.5000, 0.5000, 0.5000)
N (0.5000, 0.5000, 0.0000)


#c
Crystalline LaTe2IN at its relaxed geometry, computed with PBE.

Summary:
Symmetry   P4/mmm, No. 123
N(E_F)   5.42 states/eV/cell

abc: 6.2782 6.2782 6.3502
angles: 90.00 90.00 90.00
Element x y z (fractional)
La (0.0000, 0.0000, 0.0000)
Te (0.0000, 0.5000, 0.0000)
Te (0.5000, 0.0000, 0.0000)
I (0.0000, 0.0000, 0.5000)
N (0.5000, 0.5000, 0.5000)


We find #a to be the most stable, with the next structure 0.498 eV/atom higher.


#a
Crystalline LaTiIN2 at its relaxed geometry, computed with PBE.

Summary:
Symmetry   P4/mmm, No. 123
N(E_F)   7.65 states/eV/cell

abc: 4.3349 4.3349 6.3832
angles: 90.00 90.00 90.00
Element x y z (fractional)
La (0.0000, 0.0000, 0.0000)
Ti (0.5000, 0.5000, 0.5000)
I (0.0000, 0.0000, 0.5000)
N (0.0000, 0.5000, 0.0000)
N (0.5000, 0.0000, 0.0000)


#b
Crystalline LaTiIN2 at its relaxed geometry, computed with PBE.

Summary:
Symmetry   P4/mmm, No. 123
N(E_F)   1.72 states/eV/cell

abc: 4.2303 4.2303 5.2179
angles: 90.00 90.00 90.00
Element x y z (fractional)
La (0.0000, 0.0000, 0.0000)
Ti (0.5000, 0.5000, 0.5000)
I (0.5000, 0.5000, 0.0000)
N (0.0000, 0.5000, 0.5000)
N (0.5000, 0.0000, 0.5000)


We find #b to be the most stable, with the next structure 1.090 eV/atom higher.